# GGA+U SrNdCoRuO6, optimized geometry
data_SrNdCoRuO6
_space_group_name_H-M_alt 'P 1 2/c 1'
_space_group_IT_number 13
_space_group_name_Hall '-P 2yc'
_cell_length_a 7.921
_cell_length_b 7.939
_cell_length_c 11.197
_cell_angle_alpha 90.00
_cell_angle_beta 134.78
_cell_angle_gamma 90.00
loop_
_atom_site_label
_atom_site_fract_x
_atom_site_fract_y
_atom_site_fract_z
Sr1 0.000 0.232 0.250
Sr2 0.500 0.264 0.250
Nd1 0.000 0.272 0.750
Nd2 0.500 0.231 0.750
Co1 0.000 0.000 0.000
Co2 0.500 0.500 0.000
Ru1 0.000 0.500 0.000
Ru2 0.500 0.000 0.000
O1 0.037 0.255 0.033
O2 0.195 0.495 0.950
O3 0.212 0.048 0.757
O4 0.288 0.451 0.744
O5 0.302 0.013 0.548
O6 0.469 0.245 0.466
# crystal system = monoclinic
# density of states at the Fermi level = 3.341 states/eV per cell
# total DFT energy (no corrections) = -7.065 eV/atom
# magnetization = 6.0 μB/f.u.